The following is a PBE-GGA calculation of ScGeTeAuSe2 after structural relaxation, from the Open Quantum Materials Database.

Cell: 3.889 13.775 10.813 Å, 90.00 90.00 90.00°
Space group Cmcm (No. 63)
One atom of each set of equivalent atoms:
Sc  0.000  0.000  0.000 (multiplicity 4)
Ge  0.000  0.183  0.250 (multiplicity 4)
Te  0.000  0.112  0.750 (multiplicity 4)
Au  0.000  0.469  0.750 (multiplicity 4)
Se  0.000  0.362  0.550 (multiplicity 8)

=====

The following is a PBE-GGA calculation of Sc3Si2Ge2Au4 after structural relaxation, from the Open Quantum Materials Database.

Cell: 4.151 6.905 14.056 Å, 90.00 90.00 90.00°
Space group Immm (No. 71)
One atom of each set of equivalent atoms:
Sc  0.000  0.000  0.000 (multiplicity 2)
Sc  0.000  0.500  0.122 (multiplicity 4)
Si  0.000  0.000  0.216 (multiplicity 4)
Ge  0.000  0.186  0.500 (multiplicity 4)
Au  0.000  0.295  0.328 (multiplicity 8)

=====

The following is a PBE-GGA calculation of Sc2SnGeAu2 after structural relaxation, from the Open Quantum Materials Database.

Cell: 11.085 4.527 11.086 Å, 90.00 109.47 90.00°
Space group Pm (No. 6)
One atom of each set of equivalent atoms:
Sc  0.000  0.000  0.000 (multiplicity 1)
Sc  0.119  0.500  0.372 (multiplicity 1)
Sc  0.242  0.000  0.744 (multiplicity 1)
Sc  0.375  0.500  0.119 (multiplicity 1)
Sc  0.505  0.000  0.495 (multiplicity 1)
Sc  0.630  0.500  0.878 (multiplicity 1)
Sc  0.753  0.000  0.250 (multiplicity 1)
Sc  0.875  0.500  0.620 (multiplicity 1)
Sn  0.249  0.000  0.247 (multiplicity 1)
Sn  0.374  0.500  0.622 (multiplicity 1)
Sn  0.500  0.000  0.998 (multiplicity 1)
Sn  0.752  0.000  0.748 (multiplicity 1)
Ge  0.124  0.500  0.871 (multiplicity 1)
Ge  0.627  0.500  0.372 (multiplicity 1)
Ge  0.875  0.500  0.124 (multiplicity 1)
Ge  0.998  0.000  0.496 (multiplicity 1)
Au  0.119  0.500  0.621 (multiplicity 1)
Au  0.244  0.000  0.992 (multiplicity 1)
Au  0.380  0.500  0.371 (multiplicity 1)
Au  0.500  0.000  0.747 (multiplicity 1)
Au  0.631  0.500  0.129 (multiplicity 1)
Au  0.752  0.000  0.494 (multiplicity 1)
Au  0.882  0.500  0.877 (multiplicity 1)
Au  0.996  0.000  0.248 (multiplicity 1)

=====

In eV per atom, the total DFT energy (no corrections) values for the records above are, in order, -4.65, -5.30, -5.36.
In Å³ per cell, the calculated volume values for the records above are, in order, 579, 403, 525.